The following is a PBE with a Hubbard U calculation of a relaxed structure of Rb2HfMoO6, from Alexandria via LeMat-Bulk.

Properties
Energy (eV/atom): -7.104
Crystal system: tetragonal
Space-group type: P4mm (99)
Spin magnetization (μB per cell): 0.0

Cell: 4.2291 5.7728 5.7728 Å, 90.00 90.00 90.00°
Last column: nearest neighbours and their distance in Å.
Fractional coordinates of all 10 atoms:
Rb 0.1360 0.5000 0.0000  12 O 2.89-2.99
Rb 0.1360 0.0000 0.5000  12 O 2.89-2.99
Hf 0.6437 0.5000 0.5000  6 O 2.06-2.17
Mo 0.5972 0.0000 0.0000  5 O 1.80-1.94
O 0.6514 0.2366 0.2366  1 Mo 1.94, 1 Hf 2.15
O 0.6514 0.2366 0.7634  1 Mo 1.94, 1 Hf 2.15
O 0.1561 0.5000 0.5000  2 Hf 2.06-2.17
O 0.1723 0.0000 0.0000  1 Mo 1.80
O 0.6514 0.7634 0.7634  1 Mo 1.94, 1 Hf 2.15
O 0.6514 0.7634 0.2366  1 Mo 1.94, 1 Hf 2.15